No. 1
## LaZrBr2 (SCAN)

Data for LaZrBr2 at its PBEsol-relaxed geometry.

## Properties
- Total magnetization: 0.0 μB/f.u.
- E: -232.49 eV for the cell shown
- Uncorrected formation energy: -0.881 eV per atom

The structure in CIF format:
```
data_LaZrBr2
_chemical_formula_sum 'La2 Zr2 Br4'
_symmetry_space_group_name_H-M 'A m m 2'
_symmetry_Int_Tables_number 38
_cell_length_a 5.1668
_cell_length_b 3.4527
_cell_length_c 10.8813
_cell_angle_alpha 90.00
_cell_angle_beta 90.00
_cell_angle_gamma 90.00
loop_
_symmetry_equiv_pos_as_xyz
'x,y,z'
'-x,-y,z'
'-x,y,z'
'x,-y,z'
'x,y+1/2,z+1/2'
'-x,-y+1/2,z+1/2'
'-x,y+1/2,z+1/2'
'x,-y+1/2,z+1/2'
loop_
_atom_site_label
_atom_site_fract_x
_atom_site_fract_y
_atom_site_fract_z
_atom_site_occupancy
La1 0.0000 0.0000 0.0000 1
Zr1 0.5000 0.0000 0.6640 1
Br1 0.0000 0.0000 0.7246 1
Br2 0.5000 0.0000 0.3890 1
```

No. 2
## SbPbW2 (SCAN)

Data for SbPbW2 at its PBEsol-relaxed geometry.

## Properties
- Total magnetization: 0.0 μB/f.u.
- E: -247.18 eV for the cell shown
- Uncorrected formation energy: 1.309 eV per atom

The structure in CIF format:
```
data_SbPbW2
_chemical_formula_sum 'Sb1 Pb1 W2'
_symmetry_space_group_name_H-M 'P m m m'
_symmetry_Int_Tables_number 47
_cell_length_a 3.3463
_cell_length_b 4.4962
_cell_length_c 5.1285
_cell_angle_alpha 90.00
_cell_angle_beta 90.00
_cell_angle_gamma 90.00
loop_
_symmetry_equiv_pos_as_xyz
'x,y,z'
'-x,-y,-z'
'-x,-y,z'
'x,y,-z'
'x,-y,-z'
'-x,y,z'
'-x,y,-z'
'x,-y,z'
loop_
_atom_site_label
_atom_site_fract_x
_atom_site_fract_y
_atom_site_fract_z
_atom_site_occupancy
Sb1 0.0000 0.0000 0.0000 1
Pb1 0.5000 0.0000 0.5000 1
W1 0.0000 0.5000 0.5000 1
W2 0.5000 0.5000 0.0000 1
```

No. 3
## InSe4 (SCAN)

Data for InSe4 at its PBEsol-relaxed geometry.

## Properties
- Total magnetization: 0.0 μB/f.u.
- E: -226.39 eV for the cell shown
- Uncorrected formation energy: 0.101 eV per atom

The structure in CIF format:
```
data_InSe4
_chemical_formula_sum 'In2 Se8'
_symmetry_space_group_name_H-M 'I 4/m m m'
_symmetry_Int_Tables_number 139
_symmetry_space_group_name_Hall '-I 4 2'
_cell_length_a 5.2296
_cell_length_b 5.2296
_cell_length_c 10.1527
_cell_angle_alpha 90.00
_cell_angle_beta 90.00
_cell_angle_gamma 90.00
loop_
_atom_site_label
_atom_site_fract_x
_atom_site_fract_y
_atom_site_fract_z
_atom_site_occupancy
In1 0.0000 0.0000 0.0000 1
Se1 0.0000 0.0000 0.3050 1
Se2 0.0000 0.5000 0.2500 1
```

No. 4
## Ba2YSbBr (SCAN)

Data for Ba2YSbBr at its PBEsol-relaxed geometry.

## Properties
- Total magnetization: 2.3 μB/f.u.
- E: -163.63 eV for the cell shown
- Uncorrected formation energy: 0.006 eV per atom

The structure in CIF format:
```
data_Ba2YSbBr
_chemical_formula_sum 'Ba2 Y1 Sb1 Br1'
_symmetry_space_group_name_H-M 'P 4/m m m'
_symmetry_Int_Tables_number 123
_symmetry_space_group_name_Hall '-P 4 2'
_cell_length_a 6.6497
_cell_length_b 6.6497
_cell_length_c 5.6921
_cell_angle_alpha 90.00
_cell_angle_beta 90.00
_cell_angle_gamma 90.00
loop_
_atom_site_label
_atom_site_fract_x
_atom_site_fract_y
_atom_site_fract_z
_atom_site_occupancy
Ba1 0.0000 0.5000 0.0000 1
Y1 0.0000 0.0000 0.5000 1
Sb1 0.5000 0.5000 0.0000 1
Br1 0.5000 0.5000 0.5000 1
```

No. 5
## BMo3Ir (SCAN)

Data for BMo3Ir at its PBEsol-relaxed geometry.

## Properties
- Total magnetization: 0.0 μB/f.u.
- E: -182.55 eV for the cell shown
- Calculated formation energy: 126 meV per atom

The structure in CIF format:
```
data_BMo3Ir
_chemical_formula_sum 'B1 Mo3 Ir1'
_symmetry_space_group_name_H-M 'P m -3 m'
_symmetry_Int_Tables_number 221
_symmetry_space_group_name_Hall '-P 4 2 3'
_cell_length_a 4.1042
_cell_length_b 4.1042
_cell_length_c 4.1042
_cell_angle_alpha 90.00
_cell_angle_beta 90.00
_cell_angle_gamma 90.00
loop_
_atom_site_label
_atom_site_fract_x
_atom_site_fract_y
_atom_site_fract_z
_atom_site_occupancy
B1 0.0000 0.0000 0.0000 1
Mo1 0.0000 0.0000 0.5000 1
Ir1 0.5000 0.5000 0.5000 1
```

No. 6
## SiMo2Pb (SCAN)

Data for SiMo2Pb at its PBEsol-relaxed geometry.

## Properties
- Total magnetization: 0.0 μB/f.u.
- E: -460.24 eV for the cell shown
- Uncorrected formation energy: 0.539 eV per atom

The structure in CIF format:
```
data_SiMo2Pb
_chemical_formula_sum 'Si3 Mo6 Pb3'
_symmetry_space_group_name_H-M 'R -3 m'
_symmetry_Int_Tables_number 166
_symmetry_space_group_name_Hall '-R 3 2"'
_cell_length_a 3.0695
_cell_length_b 3.0695
_cell_length_c 24.9019
_cell_angle_alpha 90.00
_cell_angle_beta 90.00
_cell_angle_gamma 120.00
loop_
_atom_site_label
_atom_site_fract_x
_atom_site_fract_y
_atom_site_fract_z
_atom_site_occupancy
Si1 0.0000 0.0000 0.0000 1
Mo1 0.0000 0.0000 0.2596 1
Pb1 0.0000 0.0000 0.5000 1
```

No. 7
## AlTl3Cu (SCAN)

Data for AlTl3Cu at its PBEsol-relaxed geometry.

## Properties
- Total magnetization: 0.0 μB/f.u.
- E: -237.91 eV for the cell shown
- Calculated formation energy: 424 meV per atom

The structure in CIF format:
```
data_AlTl3Cu
_chemical_formula_sum 'Al1 Tl3 Cu1'
_symmetry_space_group_name_H-M 'P m -3 m'
_symmetry_Int_Tables_number 221
_symmetry_space_group_name_Hall '-P 4 2 3'
_cell_length_a 5.0942
_cell_length_b 5.0942
_cell_length_c 5.0942
_cell_angle_alpha 90.00
_cell_angle_beta 90.00
_cell_angle_gamma 90.00
loop_
_atom_site_label
_atom_site_fract_x
_atom_site_fract_y
_atom_site_fract_z
_atom_site_occupancy
Al1 0.0000 0.0000 0.0000 1
Tl1 0.0000 0.5000 0.5000 1
Cu1 0.5000 0.5000 0.5000 1
```

No. 8
## LiZnIr2 (SCAN)

Data for LiZnIr2 at its PBEsol-relaxed geometry.

## Properties
- Total magnetization: 0.2 μB/f.u.
- E: -158.96 eV for the cell shown
- Calculated formation energy: -214 meV per atom

The structure in CIF format:
```
data_LiZnIr2
_chemical_formula_sum 'Li1 Zn1 Ir2'
_symmetry_space_group_name_H-M 'P m m m'
_symmetry_Int_Tables_number 47
_cell_length_a 2.7436
_cell_length_b 4.3142
_cell_length_c 4.5437
_cell_angle_alpha 90.00
_cell_angle_beta 90.00
_cell_angle_gamma 90.00
loop_
_symmetry_equiv_pos_as_xyz
'x,y,z'
'-x,-y,-z'
'-x,-y,z'
'x,y,-z'
'x,-y,-z'
'-x,y,z'
'-x,y,-z'
'x,-y,z'
loop_
_atom_site_label
_atom_site_fract_x
_atom_site_fract_y
_atom_site_fract_z
_atom_site_occupancy
Li1 0.0000 0.0000 0.0000 1
Zn1 0.5000 0.0000 0.5000 1
Ir1 0.0000 0.5000 0.5000 1
Ir2 0.5000 0.5000 0.0000 1
```

No. 9
## Ta3ZnI (SCAN)

Data for Ta3ZnI at its PBEsol-relaxed geometry.

## Properties
- Total magnetization: 0.0 μB/f.u.
- E: -241.47 eV for the cell shown
- Uncorrected formation energy: 1.707 eV per atom

The structure in CIF format:
```
data_Ta3ZnI
_chemical_formula_sum 'Ta3 Zn1 I1'
_symmetry_space_group_name_H-M 'P m -3 m'
_symmetry_Int_Tables_number 221
_symmetry_space_group_name_Hall '-P 4 2 3'
_cell_length_a 4.7303
_cell_length_b 4.7303
_cell_length_c 4.7303
_cell_angle_alpha 90.00
_cell_angle_beta 90.00
_cell_angle_gamma 90.00
loop_
_atom_site_label
_atom_site_fract_x
_atom_site_fract_y
_atom_site_fract_z
_atom_site_occupancy
Ta1 0.0000 0.0000 0.5000 1
Zn1 0.0000 0.0000 0.0000 1
I1 0.5000 0.5000 0.5000 1
```

No. 10
## HfNb2PbW (SCAN)

Data for HfNb2PbW at its PBEsol-relaxed geometry.

## Properties
- Total magnetization: 0.0 μB/f.u.
- E: -262.50 eV for the cell shown
- Calculated formation energy: 2380 meV per atom

The structure in CIF format:
```
data_HfNb2PbW
_chemical_formula_sum 'Hf1 Nb2 Pb1 W1'
_symmetry_space_group_name_H-M 'P 4/m m m'
_symmetry_Int_Tables_number 123
_symmetry_space_group_name_Hall '-P 4 2'
_cell_length_a 4.9778
_cell_length_b 4.9778
_cell_length_c 5.0725
_cell_angle_alpha 90.00
_cell_angle_beta 90.00
_cell_angle_gamma 90.00
loop_
_atom_site_label
_atom_site_fract_x
_atom_site_fract_y
_atom_site_fract_z
_atom_site_occupancy
Hf1 0.0000 0.0000 0.0000 1
Nb1 0.0000 0.5000 0.5000 1
Pb1 0.0000 0.0000 0.5000 1
W1 0.5000 0.5000 0.0000 1
```

No. 11
## Mn2Pb3 (SCAN)

Data for Mn2Pb3 at its PBEsol-relaxed geometry.

## Properties
- Total magnetization: 7.8 μB/f.u.
- E: -263.13 eV for the cell shown
- Calculated formation energy: 144 meV per atom

The structure in CIF format:
```
data_Mn2Pb3
_chemical_formula_sum 'Mn2 Pb3'
_symmetry_space_group_name_H-M 'P -3 m 1'
_symmetry_Int_Tables_number 164
_symmetry_space_group_name_Hall '-P 3 2"'
_cell_length_a 4.7259
_cell_length_b 4.7259
_cell_length_c 5.8068
_cell_angle_alpha 90.00
_cell_angle_beta 90.00
_cell_angle_gamma 120.00
loop_
_atom_site_label
_atom_site_fract_x
_atom_site_fract_y
_atom_site_fract_z
_atom_site_occupancy
Mn1 0.3333 0.6667 0.3951 1
Pb1 0.0000 0.0000 0.5000 1
Pb2 0.3333 0.6667 0.8688 1
```

No. 12
## SnRh2N (SCAN)

Data for SnRh2N at its PBEsol-relaxed geometry.

## Properties
- Total magnetization: 2.3 μB/f.u.
- E: -437.53 eV for the cell shown
- Uncorrected formation energy: 0.843 eV per atom

The structure in CIF format:
```
data_SnRh2N
_chemical_formula_sum 'Sn4 Rh8 N4'
_symmetry_space_group_name_H-M 'F m -3 m'
_symmetry_Int_Tables_number 225
_symmetry_space_group_name_Hall '-F 4 2 3'
_cell_length_a 6.0449
_cell_length_b 6.0449
_cell_length_c 6.0449
_cell_angle_alpha 90.00
_cell_angle_beta 90.00
_cell_angle_gamma 90.00
loop_
_atom_site_label
_atom_site_fract_x
_atom_site_fract_y
_atom_site_fract_z
_atom_site_occupancy
Sn1 0.0000 0.0000 0.0000 1
Rh1 0.2500 0.2500 0.2500 1
N1 0.0000 0.0000 0.5000 1
```